VASP calculation (GGA-PBE) on an optimized crystal structure of In2GaPd4.

The structure in POSCAR format:
```
In2GaPd4
1.0
4.6172 0.0000 0.0000
0.0000 4.6172 0.0000
2.3086 2.3086 6.8175
Pd In Ga
4 2 1
Cartesian
0.0000 2.3086 0.0000
2.3086 0.0000 0.0000
4.6172 4.6172 2.4301
2.3086 2.3086 4.3875
2.3086 2.3086 1.7580
4.6172 4.6172 5.0596
0.0000 0.0000 0.0000
```

Results
total moment	0.0	Bohr magnetons per cell
E_form	-61	meV per atom



VASP calculation (GGA-PBE) on an optimized crystal structure of TiAlNF2.

The structure in POSCAR format:
```
TiAlNF2
1.0
-2.4705 -2.6618 -1.8725
3.0624 -2.6970 -0.2065
-1.0627 -1.4745 3.4981
Ti F N Al
1 2 1 1
Cartesian
0.0000 0.0000 0.0000
-1.2353 -1.3309 -0.9363
1.5312 -1.3485 -0.1033
-0.5314 -0.7372 1.7491
-0.2354 -3.4167 0.7095
```

Results
total moment	0.0	Bohr magnetons per cell
uncorrected formation energy	-1.48	eV per atom



VASP calculation (GGA-PBE) on an optimized crystal structure of Cs6RbAu2.

The structure in POSCAR format:
```
Cs6RbAu2
1.0
7.2187 0.0000 0.0000
3.6094 8.0914 0.6854
3.6094 4.4168 13.6917
Au Cs Rb
2 6 1
Cartesian
7.2187 2.4900 1.3394
7.2187 10.0182 13.0377
3.6094 2.4762 1.2563
10.8281 10.0320 13.1208
10.8281 5.4673 11.6767
3.6094 7.0409 2.7004
7.2187 9.1423 9.4844
7.2187 3.3659 4.8927
3.6094 6.2541 7.1886
```

Results
total moment	0.0	Bohr magnetons per cell
E_form	-118	meV per atom



VASP calculation (GGA-PBE) on an optimized crystal structure of DyCoSe2.

The structure in POSCAR format:
```
DyCoSe2
1.0
3.6297 0.0000 0.0000
1.8148 3.1434 0.0000
1.8148 1.0478 8.0537
Co Se Dy
1 2 1
Cartesian
3.6297 2.0956 4.0269
5.4445 3.1434 2.8247
1.8148 1.0478 5.2290
0.0000 0.0000 0.0000
```

Results
total moment	0.0	Bohr magnetons per cell
uncorrected formation energy	-0.38	eV per atom